Version a
DFT (PBE) results for a relaxed structure of Tl2Bi2P.

Lattice parameters (Å, degrees): 7.538 7.538 5.410 90.00 90.00 90.00
Space group P4/mbm (No. 127)
One atom of each set of equivalent atoms:
1 Tl 0.165 0.335 0.000
2 Bi 0.141 0.641 0.500
3 P 0.000 0.000 0.000

Calculated values
Its density of states at the Fermi level is 9.0 states/eV per cell. The calculation puts the spin magnetization at 0.00 μB/f.u.

=====

Version b
DFT (PBE) results for a relaxed structure of Tl2Bi2P.

Lattice parameters (Å, degrees): 4.294 4.294 18.073 90.00 90.00 90.00
Space group I4/mmm (No. 139)
One atom of each set of equivalent atoms:
1 Tl 0.000 0.000 0.086
2 Bi 0.000 0.500 0.250
3 P 0.000 0.000 0.500

Calculated values
Its density of states at the Fermi level is 9.4 states/eV per cell. The calculation puts the spin magnetization at 0.00 μB/f.u.

=====

Stability, lowest: version b

=====

Version a
DFT (PBE) results for a relaxed structure of Tl2Bi2P.

Lattice parameters (Å, degrees): 7.524 7.524 5.583 90.00 90.00 90.00
Space group P4/mbm (No. 127)
One atom of each set of equivalent atoms:
1 Tl 0.173 0.327 0.000
2 Bi 0.149 0.649 0.500
3 P 0.000 0.000 0.500

Calculated values
Its density of states at the Fermi level is 7.3 states/eV per cell. The calculation puts the spin magnetization at 0.00 μB/f.u.

=====

Version b
DFT (PBE) results for a relaxed structure of Tl2Bi2P.

Lattice parameters (Å, degrees): 4.153 4.153 17.688 90.00 90.00 90.00
Space group I4/mmm (No. 139)
One atom of each set of equivalent atoms:
1 Tl 0.000 0.500 0.250
2 Bi 0.000 0.000 0.084
3 P 0.000 0.000 0.500

Calculated values
Its density of states at the Fermi level is 6.2 states/eV per cell. The calculation puts the spin magnetization at 0.00 μB/f.u.

=====

Stability, lowest: version b

=====

Version a
DFT (PBE) results for a relaxed structure of TlBiP.

Lattice parameters (Å, degrees): 3.858 16.007 6.164 90.00 90.00 90.00
Space group Cmc2_1 (No. 36)
One atom of each set of equivalent atoms:
1 Tl 0.000 0.031 0.000
2 Bi 0.000 0.338 0.072
3 P 0.000 0.180 0.271

Calculated values
Its density of states at the Fermi level is 5.6 states/eV per cell. The calculation puts the spin magnetization at 0.00 μB/f.u.

=====

Version b
DFT (PBE) results for a relaxed structure of TlBiP.

Lattice parameters (Å, degrees): 3.9178 3.9178 6.5465 90.00 90.00 120.00
Space group P3m1 (No. 156)
One atom of each set of equivalent atoms:
1 Tl 0.0000 0.0000 0.0000
2 Bi 0.3333 0.6667 0.5585
3 P 0.6667 0.3333 0.3171

Calculated values
Its density of states at the Fermi level is 1.3 states/eV per cell. The calculation puts the spin magnetization at 0.00 μB/f.u.

=====

Stability, lowest: version a

=====

Version a
DFT (PBE) results for a relaxed structure of VBi3P.

Lattice parameters (Å, degrees): 5.222 5.222 5.222 90.00 90.00 90.00
Space group Pm-3m (No. 221)
One atom of each set of equivalent atoms:
1 V 0.000 0.000 0.000
2 Bi 0.000 0.000 0.500
3 P 0.500 0.500 0.500

Calculated values
Its density of states at the Fermi level is 2.9 states/eV per cell. The calculation puts the spin magnetization at 1.20 μB/f.u.

=====

Version b
DFT (PBE) results for a relaxed structure of VBi3P.

Lattice parameters (Å, degrees): 5.371 5.371 5.371 90.00 90.00 90.00
Space group Pm-3m (No. 221)
One atom of each set of equivalent atoms:
1 V 0.000 0.000 0.000
2 Bi 0.000 0.500 0.500
3 P 0.500 0.500 0.500

Calculated values
Its density of states at the Fermi level is 8.6 states/eV per cell. The calculation puts the spin magnetization at 3.73 μB/f.u.

=====

Stability, lowest: version b